Entry from Alexandria via LeMat-Bulk: Sr2AlCdAg6 after structural relaxation (GGA-PBE).

- Uncorrected energy: -26.63 eV per cell
- SG: P-1 (2)

Cell lengths 5.771, 7.085, 7.340 Å; angles 83.18, 67.07, 66.42 degrees
Positions (direct):
Sr 0.039 0.215 0.206
Sr 0.961 0.785 0.794
Al 0.500 0.000 0.500
Cd 0.500 0.500 0.000
Ag 0.012 0.247 0.729
Ag 0.345 0.404 0.407
Ag 0.486 0.756 0.270
Ag 0.514 0.244 0.730
Ag 0.655 0.596 0.593
Ag 0.988 0.753 0.271